Density functional theory data (PBE-GGA) for a geometry-optimized Pr4SiAu3 structure.

Unit cell a=6.0198 b=4.6295 c=7.6528 alpha=90.00 beta=90.60 gamma=90.00
Closest atoms and distances in Å follow each position.
Fractional positions:
Pr1 0.0000 0.0000 0.0000  5 Au 3.13-3.27, 2 Si 3.13
Pr2 0.2199 0.0000 0.5046  2 Si 3.14, 5 Au 3.16-3.31
Pr3 0.4946 0.5000 0.8573  2 Si 3.09-3.26, 5 Au 3.16-3.28
Pr4 0.7262 0.5000 0.3626  6 Au 3.13-3.24, 1 Si 3.23
Si1 0.0078 0.5000 0.7243  2 Au 2.95, 7 Pr 3.09-3.26
Au1 0.2165 0.5000 0.2243  2 Au 3.00, 7 Pr 3.15-3.28
Au2 0.5138 0.0000 0.1418  2 Au 3.00, 7 Pr 3.13-3.31
Au3 0.7221 0.0000 0.6422  2 Si 2.95, 7 Pr 3.15-3.19

Computed properties:
volume	213.3	Å³/f.u.
E_tot	-5.0200	eV/atom
spin magnetization	0.00	μB per atom
space group	No. 6

---

Density functional theory data (PBE-GGA) for a geometry-optimized NbZnGaCo structure.

Unit cell a=6.1198 b=6.1198 c=6.1198 alpha=90.00 beta=90.00 gamma=90.00
Closest atoms and distances in Å follow each position.
Fractional positions:
Nb1 0.0000 0.0000 0.0000  4 Zn 2.65, 4 Ga 2.65
Nb2 0.0000 0.5000 0.5000  4 Zn 2.65, 4 Ga 2.65
Nb3 0.5000 0.0000 0.5000  4 Zn 2.65, 4 Ga 2.65
Nb4 0.5000 0.5000 0.0000  4 Zn 2.65, 4 Ga 2.65
Zn1 0.2500 0.2500 0.7500  4 Nb 2.65, 4 Co 2.65
Zn2 0.2500 0.7500 0.2500  4 Nb 2.65, 4 Co 2.65
Zn3 0.7500 0.2500 0.2500  4 Nb 2.65, 4 Co 2.65
Zn4 0.7500 0.7500 0.7500  4 Nb 2.65, 4 Co 2.65
Ga1 0.2500 0.2500 0.2500  4 Nb 2.65, 4 Co 2.65
Ga2 0.2500 0.7500 0.7500  4 Nb 2.65, 4 Co 2.65
Ga3 0.7500 0.2500 0.7500  4 Nb 2.65, 4 Co 2.65
Ga4 0.7500 0.7500 0.2500  4 Nb 2.65, 4 Co 2.65
Co1 0.0000 0.0000 0.5000  4 Zn 2.65, 4 Ga 2.65
Co2 0.0000 0.5000 0.0000  4 Zn 2.65, 4 Ga 2.65
Co3 0.5000 0.0000 0.0000  4 Zn 2.65, 4 Ga 2.65
Co4 0.5000 0.5000 0.5000  4 Zn 2.65, 4 Ga 2.65

Computed properties:
volume	57.3	Å³/f.u.
E_tot	-5.3381	eV/atom
excess energy over the best structure of this formula in the dataset	0.113	eV per atom
spin magnetization	0.35	μB per atom
space group	No. 216

---

Density functional theory data (PBE-GGA) for a geometry-optimized LiTcNi structure.

Unit cell a=5.5642 b=5.5642 c=5.5642 alpha=90.00 beta=90.00 gamma=90.00
Closest atoms and distances in Å follow each position.
Fractional positions:
Li1 0.0000 0.0000 0.0000  4 Tc 2.41
Li2 0.0000 0.5000 0.5000  4 Tc 2.41
Li3 0.5000 0.0000 0.5000  4 Tc 2.41
Li4 0.5000 0.5000 0.0000  4 Tc 2.41
Tc1 0.2500 0.2500 0.2500  4 Li 2.41, 4 Ni 2.41
Tc2 0.2500 0.7500 0.7500  4 Li 2.41, 4 Ni 2.41
Tc3 0.7500 0.2500 0.7500  4 Li 2.41, 4 Ni 2.41
Tc4 0.7500 0.7500 0.2500  4 Li 2.41, 4 Ni 2.41
Ni1 0.0000 0.0000 0.5000  4 Tc 2.41
Ni2 0.0000 0.5000 0.0000  4 Tc 2.41
Ni3 0.5000 0.0000 0.0000  4 Tc 2.41
Ni4 0.5000 0.5000 0.5000  4 Tc 2.41

Computed properties:
volume	43.1	Å³/f.u.
E_tot	-5.0719	eV/atom
excess energy over the best structure of this formula in the dataset	0.330	eV per atom
spin magnetization	0.05	μB per atom
space group	No. 216